Entry 1:
A plane-wave DFT calculation with PBE was carried out for crystalline U3CrIn3Se8 at its relaxed geometry.

- ΔE_f (raw): -769.3 meV/atom
- Fermi-level density of states: 15.33 states/eV per cell
- Crystal system: trigonal
- Total moment: 0.733 μB per atom

Cell lengths 9.178, 9.178, 9.178 Å; angles 51.58, 51.58, 51.58 degrees
Fractional positions:
U 0.000 0.500 0.500
U 0.500 0.000 0.500
U 0.500 0.500 0.000
Cr 0.000 0.000 0.000
In 0.000 0.000 0.500
In 0.000 0.500 0.000
In 0.500 0.000 0.000
Se 0.225 0.225 0.750
Se 0.225 0.750 0.225
Se 0.250 0.775 0.775
Se 0.261 0.261 0.261
Se 0.739 0.739 0.739
Se 0.750 0.225 0.225
Se 0.775 0.250 0.775
Se 0.775 0.775 0.250


Entry 2:
A plane-wave DFT calculation with PBE was carried out for crystalline Ca3AcAu4 at its relaxed geometry.

- Total energy: -3.69 eV/atom
- Fermi-level density of states: 4.50 states/eV per cell
- Crystal system: trigonal
- Total moment: 0.000 μB per atom

Cell lengths 9.131, 9.131, 9.131 Å; angles 33.46, 33.46, 33.46 degrees
Fractional positions:
Ca 0.000 0.000 0.000
Ca 0.255 0.255 0.255
Ca 0.745 0.745 0.745
Ac 0.500 0.500 0.500
Au 0.122 0.122 0.122
Au 0.375 0.375 0.375
Au 0.625 0.625 0.625
Au 0.878 0.878 0.878


Entry 3:
A plane-wave DFT calculation with PBE was carried out for crystalline NbCo2Rh at its relaxed geometry.

- Fermi-level density of states: 8.53 states/eV per cell
- Crystal system: tetragonal
- Excess energy over the best structure of this formula in the dataset: 560.6 meV/atom
- Total moment: 0.537 μB per atom

Cell lengths 9.152, 9.152, 9.152 Å; angles 156.95, 156.95, 32.83 degrees
Fractional positions:
Nb 0.000 0.000 0.000
Nb 0.750 0.250 0.500
Co 0.151 0.625 0.026
Co 0.375 0.401 0.526
Co 0.599 0.125 0.974
Co 0.875 0.849 0.474
Rh 0.250 0.750 0.500
Rh 0.500 0.500 0.000